This record from the Alexandria database describes MnAl2Cu at its PBEsol-relaxed geometry. The functional is meta-GGA SCAN.

Cell: 9.0995 2.7864 4.2385 Å, 90.00 109.10 90.00°
Space group Cm (No. 8)
Inequivalent atoms, fractional coordinates:
Mn  0.0000  0.0000  0.0000 [2 per cell]
Al  0.2581  0.0000  0.8666 [2 per cell]
Al  0.4916  0.0000  0.5005 [2 per cell]
Cu  0.2450  0.5000  0.3561 [2 per cell]

Computed properties:
The density of states at the Fermi level is 1.8 states/eV/f.u. As for the total energy: -12.550 eV per atom. The formation energy comes out at -311 meV/atom.

This record from the Alexandria database describes MnAl2Cu at its PBEsol-relaxed geometry. The functional is meta-GGA SCAN.

Cell: 5.5448 6.5519 2.7672 Å, 90.00 90.00 90.00°
Space group Cmmm (No. 65)
Inequivalent atoms, fractional coordinates:
Mn  0.0000  0.0000  0.0000 [2 per cell]
Al  0.2500  0.2500  0.5000 [4 per cell]
Cu  0.0000  0.5000  0.0000 [2 per cell]

Computed properties:
The density of states at the Fermi level is 1.7 states/eV/f.u. As for the total energy: -12.603 eV per atom. The formation energy comes out at -364 meV/atom.

This record from the Alexandria database describes MnAl3Cu at its PBEsol-relaxed geometry. The functional is meta-GGA SCAN.

Cell: 4.4686 4.4686 4.4686 Å, 90.00 90.00 90.00°
Space group Pm-3m (No. 221)
Inequivalent atoms, fractional coordinates:
Mn  0.0000  0.0000  0.0000 [1 per cell]
Al  0.0000  0.5000  0.5000 [3 per cell]
Cu  0.5000  0.5000  0.5000 [1 per cell]

Computed properties:
The density of states at the Fermi level is 2.0 states/eV/f.u. As for the total energy: -11.056 eV per atom. The formation energy comes out at 286 meV/atom.

This record from the Alexandria database describes MnAlCuMo2 at its PBEsol-relaxed geometry. The functional is meta-GGA SCAN.

Cell: 4.4750 4.4750 4.2918 Å, 90.00 90.00 90.00°
Space group P4/mmm (No. 123)
Inequivalent atoms, fractional coordinates:
Mn  0.0000  0.0000  0.0000 [1 per cell]
Al  0.5000  0.5000  0.0000 [1 per cell]
Cu  0.0000  0.0000  0.5000 [1 per cell]
Mo  0.0000  0.5000  0.5000 [2 per cell]

Computed properties:
The density of states at the Fermi level is 4.2 states/eV/f.u. As for the total energy: -21.042 eV per atom. The formation energy comes out at 1154 meV/atom.

What did the first record say?
This record from the Alexandria database describes MnAl2Cu at its PBEsol-relaxed geometry. The functional is meta-GGA SCAN.

Cell: 9.0995 2.7864 4.2385 Å, 90.00 109.10 90.00°
Space group Cm (No. 8)
Inequivalent atoms, fractional coordinates:
Mn  0.0000  0.0000  0.0000 [2 per cell]
Al  0.2581  0.0000  0.8666 [2 per cell]
Al  0.4916  0.0000  0.5005 [2 per cell]
Cu  0.2450  0.5000  0.3561 [2 per cell]

Computed properties:
The density of states at the Fermi level is 1.8 states/eV/f.u. As for the total energy: -12.550 eV per atom. The formation energy comes out at -311 meV/atom.